(1)
## Li2TiCr3O8 (GGA-PBEsol)

Data for a geometry-optimized Li2TiCr3O8 structure.

Unit cell a=8.2122 b=8.2122 c=8.2122 alpha=90.00 beta=90.00 gamma=90.00
Positions (direct):
Li  0.0047  0.4953  0.5047
Li  0.2453  0.7453  0.7547
Li  0.2547  0.2547  0.2547
Li  0.4953  0.5047  0.0047
Li  0.5047  0.0047  0.4953
Li  0.7453  0.7547  0.2453
Li  0.7547  0.2453  0.7453
Li  0.9953  0.9953  0.9953
Ti  0.1250  0.8750  0.3750
Ti  0.3750  0.1250  0.8750
Ti  0.6250  0.6250  0.6250
Ti  0.8750  0.3750  0.1250
Cr  0.1233  0.6250  0.1267
Cr  0.1250  0.3733  0.8767
Cr  0.1267  0.1233  0.6250
Cr  0.3733  0.8767  0.1250
Cr  0.3750  0.6267  0.3767
Cr  0.3767  0.3750  0.6267
Cr  0.6233  0.8750  0.8733
Cr  0.6250  0.1267  0.1233
Cr  0.6267  0.3767  0.3750
Cr  0.8733  0.6233  0.8750
Cr  0.8750  0.8733  0.6233
Cr  0.8767  0.1250  0.3733
O  0.1092  0.6092  0.8908
O  0.1123  0.8851  0.6143
O  0.1143  0.3877  0.1149
O  0.1149  0.1143  0.3877
O  0.1351  0.8623  0.1357
O  0.1357  0.1351  0.8623
O  0.1377  0.6357  0.3649
O  0.1408  0.3592  0.6408
O  0.3592  0.6408  0.1408
O  0.3623  0.3643  0.8649
O  0.3643  0.8649  0.3623
O  0.3649  0.1377  0.6357
O  0.3851  0.8857  0.8877
O  0.3857  0.6123  0.6149
O  0.3877  0.1149  0.1143
O  0.3908  0.3908  0.3908
O  0.6092  0.8908  0.1092
O  0.6123  0.6149  0.3857
O  0.6143  0.1123  0.8851
O  0.6149  0.3857  0.6123
O  0.6351  0.6377  0.8643
O  0.6357  0.3649  0.1377
O  0.6377  0.8643  0.6351
O  0.6408  0.1408  0.3592
O  0.8592  0.8592  0.8592
O  0.8623  0.1357  0.1351
O  0.8643  0.6351  0.6377
O  0.8649  0.3623  0.3643
O  0.8851  0.6143  0.1123
O  0.8857  0.8877  0.3851
O  0.8877  0.3851  0.8857
O  0.8908  0.1092  0.6092

Computed properties:
The calculation puts the volume at 9.89 Å³ per atom. As for the energy relative to the lowest polymorph listed for this composition: 0 meV/atom. The calculation puts the uncorrected formation energy at -2256 meV per atom.


(2)
## NaS2NO (GGA-PBEsol)

Data for a geometry-optimized NaS2NO structure.

Unit cell a=4.0513 b=4.0513 c=4.4085 alpha=90.00 beta=90.00 gamma=90.00
Positions (direct):
Na  0.0000  0.0000  0.0000
S  0.0000  0.5000  0.5000
S  0.5000  0.0000  0.5000
N  0.5000  0.5000  0.0000
O  0.5000  0.5000  0.5000

Computed properties:
The calculation puts the volume at 14.47 Å³ per atom. The calculation puts the uncorrected formation energy at 993 meV per atom.


(3)
## ScZn2Ir (GGA-PBEsol)

Data for a geometry-optimized ScZn2Ir structure.

Unit cell a=2.8785 b=4.4431 c=4.9918 alpha=90.00 beta=103.12 gamma=90.00
Positions (direct):
Sc  0.0000  0.0000  0.0000
Zn  0.3524  0.5000  0.7303
Zn  0.6476  0.5000  0.2697
Ir  0.5000  0.0000  0.5000

Computed properties:
Its formation energy is -0.37 eV per atom. The calculation puts the volume at 15.54 Å³ per atom.


(4)
## TcNiGe2Au (GGA-PBEsol)

Data for a geometry-optimized TcNiGe2Au structure.

Unit cell a=4.3217 b=4.3217 c=4.7685 alpha=90.00 beta=90.00 gamma=90.00
Positions (direct):
Tc  0.0000  0.0000  0.0000
Ni  0.5000  0.5000  0.5000
Ge  0.0000  0.5000  0.5000
Ge  0.5000  0.0000  0.5000
Au  0.5000  0.5000  0.0000

Computed properties:
Its formation energy is 0.83 eV per atom. The calculation puts the volume at 17.81 Å³ per atom.


(5)
## LaAlCd2 (GGA-PBEsol)

Data for a geometry-optimized LaAlCd2 structure.

Unit cell a=3.2562 b=3.7862 c=7.5213 alpha=90.00 beta=90.00 gamma=90.00
Positions (direct):
La  0.0000  0.0000  0.0000
Al  0.5000  0.5000  0.2820
Cd  0.0000  0.0000  0.4813
Cd  0.5000  0.5000  0.7027

Computed properties:
Its formation energy is -0.17 eV per atom. The calculation puts the volume at 23.18 Å³ per atom.


(6)
## Hf2SeN (GGA-PBEsol)

Data for a geometry-optimized Hf2SeN structure.

Unit cell a=6.4829 b=6.4829 c=6.4829 alpha=130.71 beta=130.71 gamma=72.27
Positions (direct):
Hf  0.0435  0.6250  0.9185
Hf  0.3750  0.2935  0.4185
Hf  0.7065  0.1250  0.0815
Hf  0.8750  0.9565  0.5815
Se  0.2500  0.7500  0.5000
Se  0.5000  0.5000  0.0000
N  0.0000  0.0000  0.0000
N  0.7500  0.2500  0.5000

Computed properties:
The calculation puts the volume at 19.13 Å³ per atom. The calculation puts the uncorrected formation energy at -1072 meV per atom.


no.,DOS at the Fermi energy (states/eV/cell)
1,35.70
2,2.28
3,1.97
4,3.56
5,2.43
6,3.18